No. 1
A geometry-optimized RbTl2GeF8 structure, computed with PBE.

Results
- formation energy (no corrections) (meV/atom) = -2241.8

Unit cell a=5.204 b=5.720 c=7.186 alpha=88.61 beta=91.88 gamma=90.29
Positions (direct):
1 Tl 0.484 0.506 0.223
2 Tl 0.516 0.494 0.777
3 F 0.300 0.010 0.135
4 F 0.491 0.725 0.499
5 F 0.509 0.275 0.501
6 F 0.124 0.774 0.848
7 F 0.108 0.235 0.837
8 F 0.892 0.765 0.163
9 F 0.700 0.990 0.865
10 F 0.876 0.226 0.152
11 Ge 0.000 0.000 0.000
12 Rb 0.000 0.000 0.500

=====

No. 2
A geometry-optimized Rb2ZnGeF6 structure, computed with PBE.

Results
- formation energy (no corrections) (meV/atom) = -2450.9

Unit cell a=6.129 b=6.129 c=6.130 alpha=60.00 beta=60.00 gamma=90.00
Positions (direct):
1 Rb 0.250 0.750 0.500
2 Rb 0.750 0.250 0.500
3 F 0.260 0.260 0.000
4 F 0.259 0.259 0.481
5 F 0.260 0.740 0.000
6 F 0.741 0.741 0.519
7 F 0.740 0.740 0.000
8 F 0.740 0.260 0.000
9 Zn 0.500 0.500 0.000
10 Ge 0.000 0.000 0.000

=====

No. 3
A geometry-optimized ReGe2F structure, computed with PBE.

Results
- formation energy (no corrections) (meV/atom) = 187.0

Unit cell a=4.402 b=4.402 c=4.402 alpha=60.00 beta=60.00 gamma=60.00
Positions (direct):
1 Re 0.500 0.500 0.500
2 F 0.000 0.000 0.000
3 Ge 0.750 0.750 0.750
4 Ge 0.250 0.250 0.250

=====

No. 4
A geometry-optimized Re2GeF structure, computed with PBE.

Results
- formation energy (no corrections) (meV/atom) = 456.9

Unit cell a=4.253 b=4.253 c=4.253 alpha=60.00 beta=60.00 gamma=60.00
Positions (direct):
1 Re 0.250 0.250 0.250
2 Re 0.750 0.750 0.750
3 F 0.000 0.000 0.000
4 Ge 0.500 0.500 0.500